# 1
DFT (PBE) results for crystalline La7Pm12Ho at its relaxed geometry.

Output
Fermi-level density of states (states/eV per cell): 32.58
Volume (Å³/atom): 35.6
Polymorph energy (0 for the lowest one) (eV per atom): 0.000
Formation energy (eV/atom): 0.211
SG: R-3

a = 8.9321 Å, b = 8.9321 Å, c = 8.9321 Å
α = 90.92°, β = 90.92°, γ = 90.92°
Last column: nearest neighbours and their distance in Å.
Positions (direct):
La1 0.8752 0.6168 0.9395  1 La 3.26, 2 Pm 3.49-3.56, 1 Ho 3.61
La2 0.3832 0.0605 0.1248  1 La 3.26, 2 Pm 3.49-3.56, 1 Ho 3.61
La3 0.0605 0.1248 0.3832  1 La 3.26, 2 Pm 3.49-3.56, 1 Ho 3.61
La4 0.5000 0.5000 0.5000  6 Pm 3.10
La5 0.9395 0.8752 0.6168  1 La 3.26, 2 Pm 3.49-3.56, 1 Ho 3.61
La6 0.6168 0.9395 0.8752  1 La 3.26, 2 Pm 3.49-3.56, 1 Ho 3.61
La7 0.1248 0.3832 0.0605  1 La 3.26, 2 Pm 3.49-3.56, 1 Ho 3.61
Pm1 0.8598 0.2532 0.7167  4 Pm 3.51-3.60, 4 La 3.56-3.82, 1 Ho 3.64
Pm2 0.7468 0.2833 0.1402  4 Pm 3.51-3.60, 4 La 3.56-3.82, 1 Ho 3.64
Pm3 0.5627 0.1618 0.4616  1 La 3.10, 1 Pm 3.17
Pm4 0.8382 0.5384 0.4373  1 La 3.10, 1 Pm 3.17
Pm5 0.2833 0.1402 0.7468  4 Pm 3.51-3.60, 4 La 3.56-3.82, 1 Ho 3.64
Pm6 0.5384 0.4373 0.8382  1 La 3.10, 1 Pm 3.17
Pm7 0.4616 0.5627 0.1618  1 La 3.10, 1 Pm 3.17
Pm8 0.7167 0.8598 0.2532  4 Pm 3.51-3.60, 4 La 3.56-3.82, 1 Ho 3.64
Pm9 0.1618 0.4616 0.5627  1 La 3.10, 1 Pm 3.17
Pm10 0.4373 0.8382 0.5384  1 La 3.10, 1 Pm 3.17
Pm11 0.2532 0.7167 0.8598  4 Pm 3.51-3.60, 4 La 3.56-3.82, 1 Ho 3.64
Pm12 0.1402 0.7468 0.2833  4 Pm 3.51-3.60, 4 La 3.56-3.82, 1 Ho 3.64
Ho1 0.0000 0.0000 0.0000  6 La 3.61, 6 Pm 3.64


# 2
DFT (PBE) results for crystalline Y2TlP at its relaxed geometry.

Output
Fermi-level density of states (states/eV per cell): 4.26
Volume (Å³/atom): 24.9
Polymorph energy (0 for the lowest one) (eV per atom): 1.111
Formation energy (eV/atom): 0.114
SG: F-43m

a = 5.2001 Å, b = 5.2001 Å, c = 5.2001 Å
α = 60.00°, β = 60.00°, γ = 60.00°
Last column: nearest neighbours and their distance in Å.
Positions (direct):
Y1 0.0000 0.0000 0.0000  4 Y 3.18, 4 Tl 3.18
Y2 0.7500 0.7500 0.7500  4 Y 3.18, 4 P 3.18
Tl1 0.2500 0.2500 0.2500  4 P 3.18, 4 Y 3.18
P1 0.5000 0.5000 0.5000  4 Y 3.18, 4 Tl 3.18


# 3
DFT (PBE) results for crystalline MgCo2Ir at its relaxed geometry.

Output
Fermi-level density of states (states/eV per cell): 4.86
Volume (Å³/atom): 13.8
Formation energy (eV/atom): 0.280
SG: Cmmm

a = 2.6502 Å, b = 2.6502 Å, c = 8.6534 Å
α = 90.00°, β = 90.00°, γ = 114.99°
Last column: nearest neighbours and their distance in Å.
Positions (direct):
Co1 0.0000 0.0000 0.0047  2 Ir 2.56, 2 Mg 2.62, 6 Co 2.65-2.85
Co2 0.0000 0.0000 0.4953  2 Ir 2.56, 2 Mg 2.62, 6 Co 2.65-2.85
Ir1 0.5000 0.5000 0.2500  4 Co 2.56, 6 Ir 2.65-2.85
Mg1 0.5000 0.5000 0.7500  4 Co 2.62, 6 Mg 2.65-2.85